Density functional theory data (GGA+U) for a relaxed structure of LiGaMo2O6.

Results
SG = P1
Spin magnetization = 4.00 μB/f.u.
Calculated total energy = -6.65 eV per atom

Lattice parameters (Å, degrees): 5.1844 5.2192 5.5944 89.59 62.48 61.01
Last column: nearest neighbours and their distance in Å.
Fractional coordinates of all 10 atoms:
Li  0.0000  0.0000  0.0000  3 O 1.97-2.00
Ga  0.9788  0.5132  0.5658  5 O 1.93-2.12
Mo  0.5583  0.7232  0.1764  6 O 2.04-2.14
Mo  0.5588  0.2167  0.6755  6 O 1.98-2.16
O  0.0512  0.6145  0.8819  1 Li 1.97, 2 Mo 2.07-2.12, 1 Ga 2.09
O  0.0648  0.8142  0.4107  1 Ga 1.93, 2 Mo 2.05-2.15
O  0.4275  0.1388  0.4030  1 Ga 1.93, 2 Mo 2.05-2.14
O  0.4468  0.9509  0.9003  2 Mo 1.98-2.07, 1 Li 1.99
O  0.7302  0.4713  0.4111  1 Ga 1.94, 2 Mo 2.04-2.16
O  0.7367  0.3405  0.8775  1 Li 2.00, 2 Mo 2.02-2.11, 1 Ga 2.12